# 1
NdThCd6: optimized geometry, PBE.

Results
As for the formation energy: -0.229 eV/atom. Its total moment is 0.000 μB/f.u. The calculation puts the density of states at the Fermi level at 0.6630 states/eV/atom.

Cell lengths 6.8223, 6.8223, 5.0077 Å; angles 90.00, 90.00, 120.00 degrees
Atoms (fractional coordinates):
1 Nd 0.0000 0.0000 0.0000
2 Th 0.3333 0.6667 0.5000
3 Cd 0.3498 0.1749 0.5000
4 Cd 0.5092 0.0184 0.0000
5 Cd 0.5092 0.4908 0.0000
6 Cd 0.8251 0.1749 0.5000
7 Cd 0.8251 0.6502 0.5000
8 Cd 0.9816 0.4908 0.0000

---

# 2
NdSm2Er3Se6: optimized geometry, PBE.

Results
Its total moment is 0.000 μB/f.u. The value obtained for the uncorrected formation energy is -1.77 eV/atom. The calculation puts the density of states at the Fermi level at 0.4698 states/eV/atom.

Cell lengths 7.0705, 7.0705, 7.2445 Å; angles 99.35, 99.35, 120.27 degrees
Atoms (fractional coordinates):
1 Nd 0.0000 0.0000 0.0000
2 Sm 0.3337 0.6663 0.0000
3 Sm 0.6663 0.3337 0.0000
4 Er 0.1648 0.8352 0.5000
5 Er 0.5000 0.5000 0.5000
6 Er 0.8352 0.1648 0.5000
7 Se 0.0884 0.4249 0.2652
8 Se 0.2482 0.2482 0.7361
9 Se 0.4249 0.0884 0.2652
10 Se 0.5751 0.9116 0.7348
11 Se 0.7518 0.7518 0.2639
12 Se 0.9116 0.5751 0.7348

---

# 3
Ti2HO2: optimized geometry, PBE.

Results
Its total moment is 0.000 μB/f.u. The value obtained for the electronic total energy is -7.755 eV per atom. The calculation puts the density of states at the Fermi level at 0.4373 states/eV/atom.

Cell lengths 4.2081, 2.9995, 7.7636 Å; angles 90.00, 104.44, 90.00 degrees
Atoms (fractional coordinates):
1 Ti 0.1065 0.2500 0.1803
2 Ti 0.2562 0.2500 0.5900
3 Ti 0.7438 0.7500 0.4100
4 Ti 0.8935 0.7500 0.8197
5 H 0.1763 0.7500 0.0454
6 H 0.8237 0.2500 0.9546
7 O 0.2313 0.7500 0.3868
8 O 0.3725 0.7500 0.7696
9 O 0.6275 0.2500 0.2304
10 O 0.7687 0.2500 0.6132

---

# 4
TcPb2Se: optimized geometry, PBE.

Results
Its total moment is 0.000 μB/f.u. Its energy relative to the lowest polymorph listed for this composition is 6.640 kcal/mol of atoms. The value obtained for the uncorrected formation energy is 0.30 eV/atom. The calculation puts the density of states at the Fermi level at 1.0005 states/eV/atom.

Cell lengths 3.2971, 4.0468, 14.7728 Å; angles 90.00, 90.00, 90.00 degrees
Atoms (fractional coordinates):
1 Tc 0.0000 0.0000 0.0000
2 Tc 0.5000 0.5000 0.5000
3 Pb 0.0000 0.5000 0.3311
4 Pb 0.0000 0.5000 0.6689
5 Pb 0.5000 0.0000 0.1689
6 Pb 0.5000 0.0000 0.8311
7 Se 0.0000 0.0000 0.5000
8 Se 0.5000 0.5000 0.0000

---

# 5
ZrPtSe2Br: optimized geometry, PBE.

Results
Its total moment is 0.619 μB/f.u. Its energy relative to the lowest polymorph listed for this composition is 0.000 kcal/mol of atoms. The value obtained for the uncorrected formation energy is 0.14 eV/atom. The calculation puts the density of states at the Fermi level at 1.4304 states/eV/atom.

Cell lengths 5.2168, 5.2168, 5.1707 Å; angles 90.00, 90.00, 90.00 degrees
Atoms (fractional coordinates):
1 Zr 0.0000 0.0000 0.0000
2 Pt 0.5000 0.5000 0.5000
3 Se 0.0000 0.5000 0.0000
4 Se 0.5000 0.0000 0.0000
5 Br 0.0000 0.0000 0.5000

---

# 6
Dy5In2IrRu2: optimized geometry, PBE.

Results
As for the formation energy: -0.427 eV/atom. Its total moment is 0.000 μB/f.u. The calculation puts the density of states at the Fermi level at 0.6017 states/eV/atom.

Cell lengths 11.6571, 11.6571, 3.4831 Å; angles 90.00, 90.00, 90.00 degrees
Atoms (fractional coordinates):
1 Dy 0.0000 0.5000 0.0000
2 Dy 0.0628 0.1957 0.0000
3 Dy 0.1957 0.9372 0.0000
4 Dy 0.3043 0.4372 0.0000
5 Dy 0.4372 0.6957 0.0000
6 Dy 0.5000 0.0000 0.0000
7 Dy 0.5628 0.3043 0.0000
8 Dy 0.6957 0.5628 0.0000
9 Dy 0.8043 0.0628 0.0000
10 Dy 0.9372 0.8043 0.0000
11 In 0.1822 0.6822 0.5000
12 In 0.3178 0.1822 0.5000
13 In 0.6822 0.8178 0.5000
14 In 0.8178 0.3178 0.5000
15 Ir 0.0000 0.0000 0.5000
16 Ir 0.5000 0.5000 0.5000
17 Ru 0.1368 0.3632 0.5000
18 Ru 0.3632 0.8632 0.5000
19 Ru 0.6368 0.1368 0.5000
20 Ru 0.8632 0.6368 0.5000